## a
This record from the Alexandria database describes a geometry-optimized Ba3TbTe4 structure. The functional is PBE.

Summary:
The symmetry is P2/c, No. 13. For the density of states at the Fermi level, the calculation gives 0.22 states/eV/atom.

Unit cell a=8.4154 b=9.6689 c=8.2958 alpha=90.00 beta=109.63 gamma=90.00
Closest atoms and distances in Å follow each position.
Atoms (fractional coordinates):
1 Ba 0.0000 0.1230 0.2500  6 Te 3.41-3.63
2 Ba 0.0000 0.3753 0.7500  6 Te 3.41-3.64
3 Ba 0.0000 0.6247 0.2500  6 Te 3.41-3.64
4 Ba 0.0000 0.8770 0.7500  6 Te 3.41-3.63
5 Ba 0.5000 0.3749 0.2500  6 Te 3.42-3.44
6 Ba 0.5000 0.6251 0.7500  6 Te 3.42-3.44
7 Tb 0.5000 0.1220 0.7500  6 Te 3.20-3.21
8 Tb 0.5000 0.8780 0.2500  6 Te 3.20-3.21
9 Te 0.2648 0.3567 0.5173  1 Tb 3.20, 4 Ba 3.41-3.44
10 Te 0.2648 0.6433 0.0173  1 Tb 3.20, 4 Ba 3.41-3.44
11 Te 0.2784 0.1115 0.9982  2 Tb 3.21, 2 Ba 3.41-3.42
12 Te 0.2784 0.8885 0.4982  2 Tb 3.21, 2 Ba 3.41-3.42
13 Te 0.7216 0.1115 0.5018  2 Tb 3.21, 2 Ba 3.41-3.42
14 Te 0.7216 0.8885 0.0018  2 Tb 3.21, 2 Ba 3.41-3.42
15 Te 0.7352 0.3567 0.9827  1 Tb 3.20, 4 Ba 3.41-3.44
16 Te 0.7352 0.6433 0.4827  1 Tb 3.20, 4 Ba 3.41-3.44

=====

## b
This record from the Alexandria database describes a geometry-optimized Ba3TbTe4 structure. The functional is PBE.

Summary:
The symmetry is Cmmm, No. 65. For the density of states at the Fermi level, the calculation gives 0.35 states/eV/atom.

Unit cell a=8.3768 b=8.3768 c=4.7860 alpha=90.00 beta=90.00 gamma=108.99
Closest atoms and distances in Å follow each position.
Atoms (fractional coordinates):
1 Ba 0.0000 0.0000 0.0000  6 Te 3.60-3.63
2 Ba 0.0000 0.5000 0.5000  6 Te 3.42
3 Ba 0.5000 0.0000 0.5000  6 Te 3.42
4 Tb 0.5000 0.5000 0.0000  6 Te 3.19-3.23
5 Te 0.2659 0.7341 0.0000  1 Tb 3.19, 4 Ba 3.42
6 Te 0.2767 0.2767 0.5000  2 Tb 3.23, 4 Ba 3.42-3.60
7 Te 0.7233 0.7233 0.5000  2 Tb 3.23, 4 Ba 3.42-3.60
8 Te 0.7341 0.2659 0.0000  1 Tb 3.19, 4 Ba 3.42

=====

Tell me which of them is the least stable. Sure, it is b.